Entry 1:
Entry from OQMD: an optimized crystal structure of PmAsPbO (PBE).

Structure (CIF):
```
data_PmAsPbO
_chemical_formula_sum 'Pm2 As2 Pb2 O2'
_cell_length_a 5.0244
_cell_length_b 5.0244
_cell_length_c 6.8941
_cell_angle_alpha 90.00
_cell_angle_beta 90.00
_cell_angle_gamma 90.00
_space_group_name_H-M_alt 'P 4/n m m'
_space_group_IT_number 129
loop_
_space_group_symop_operation_xyz
'x,y,z'
'-x,-y,-z'
'-y+1/2,x,z'
'y+1/2,-x,-z'
'-x+1/2,-y+1/2,z'
'x+1/2,y+1/2,-z'
'y,-x+1/2,z'
'-y,x+1/2,-z'
'x+1/2,-y,-z'
'-x+1/2,y,z'
'-y,-x,-z'
'y,x,z'
'-x,y+1/2,-z'
'x,-y+1/2,z'
'y+1/2,x+1/2,-z'
'-y+1/2,-x+1/2,z'
loop_
_atom_site_label
_atom_site_fract_x
_atom_site_fract_y
_atom_site_fract_z
Pm1 0.2500 0.7500 0.0000
As1 0.2500 0.2500 0.1909
Pb1 0.2500 0.2500 0.5861
O1 0.2500 0.7500 0.5000
```

* calculated density: 8.5 Mg/m³
* total DFT energy (no corrections): -42.1 eV for the cell shown
* magnetization: 0.00 μB per formula unit
* V: 174.04 Å³/cell
* energy relative to the lowest polymorph listed for this composition: 682 meV/atom



Entry 2:
Entry from OQMD: an optimized crystal structure of TaCdFeBi (PBE).

Structure (CIF):
```
data_TaCdFeBi
_chemical_formula_sum 'Ta4 Cd4 Fe4 Bi4'
_cell_length_a 6.7441
_cell_length_b 6.7441
_cell_length_c 6.7441
_cell_angle_alpha 90.00
_cell_angle_beta 90.00
_cell_angle_gamma 90.00
_space_group_name_H-M_alt 'F -4 3 m'
_space_group_IT_number 216
_space_group_name_Hall 'F -4 2 3'
loop_
_atom_site_label
_atom_site_fract_x
_atom_site_fract_y
_atom_site_fract_z
Ta1 0.0000 0.0000 0.0000
Cd1 0.2500 0.2500 0.7500
Fe1 0.0000 0.0000 0.5000
Bi1 0.2500 0.2500 0.2500
```

* calculated density: 12.1 Mg/m³
* total DFT energy (no corrections): -88.4 eV for the cell shown
* magnetization: 2.25 μB per formula unit
* V: 306.74 Å³/cell
* energy relative to the lowest polymorph listed for this composition: 0 meV/atom